Entry from the Alexandria database: a relaxed RbSr2HgF8 crystal (GGA-PBE).

The value obtained for the raw formation energy is -2.774 eV per atom.

abc: 4.3481 5.8400 8.2619
angles: 89.95 90.00 88.34
With the nearest neighbours (Å) after each atom.
Space group P-1 (No. 2)
Unique sites:
Rb 0.0000 0.0000 0.0000 [1 per cell]  8 F 2.74-2.84
Sr 0.5000 0.5002 0.2628 [2 per cell]  8 F 2.48-2.61
Hg 0.0000 0.0000 0.5000 [1 per cell]  6 F 2.28-2.48
F 0.0106 0.2565 0.2919 [2 per cell]  1 Hg 2.28
F 0.0106 0.2578 0.7084 [2 per cell]  1 Hg 2.29
F 0.4810 0.7611 0.4999 [2 per cell]  2 Hg 2.48-2.69, 2 Sr 2.48, 2 F 2.75
F 0.4907 0.2862 0.0003 [2 per cell]  1 F 2.50, 2 Sr 2.51, 2 Rb 2.74-2.75